A geometry-optimized Cs2TcIrBr6 structure, computed with PBE-GGA.

Cell and atoms, written as POSCAR:
```
Cs2TcIrBr6
1.0
-3.7940 3.7940 5.3600
3.7940 -3.7940 5.3600
3.7940 3.7940 -5.3600
Cs Tc Ir Br
2 1 1 6
Direct
0.2500 0.7500 0.5000 Cs
0.7500 0.2500 0.5000 Cs
0.0000 0.0000 0.0000 Tc
0.5000 0.5000 0.0000 Ir
0.2548 0.2548 0.0000 Br
0.2571 0.2571 0.5142 Br
0.2571 0.7429 0.0000 Br
0.7429 0.2571 0.0000 Br
0.7429 0.7429 0.4858 Br
0.7452 0.7452 0.0000 Br
```

volume = 30.9 Å³ per atom
VASP energy = -3.70 eV/atom


A geometry-optimized Ga3SbW structure, computed with PBE-GGA.

Cell and atoms, written as POSCAR:
```
Ga3SbW
1.0
4.9669 0.0000 0.0000
0.0000 4.9669 0.0000
0.0000 0.0000 4.9669
Ga Sb W
3 1 1
Direct
0.0000 0.0000 0.5000 Ga
0.0000 0.5000 0.0000 Ga
0.5000 0.0000 0.0000 Ga
0.5000 0.5000 0.5000 Sb
0.0000 0.0000 0.0000 W
```

volume = 24.5 Å³ per atom
VASP energy = -4.54 eV/atom


A geometry-optimized SrRe2Ni structure, computed with PBE-GGA.

Cell and atoms, written as POSCAR:
```
SrRe2Ni
1.0
5.3219 0.0000 0.0000
0.0000 10.3236 0.0000
-0.9598 0.0000 2.5267
Sr Re Ni
2 4 2
Direct
0.0000 0.0000 0.0000 Sr
0.5000 0.5000 0.0000 Sr
0.2500 0.2500 0.5000 Re
0.2500 0.7500 0.5000 Re
0.7500 0.2500 0.5000 Re
0.7500 0.7500 0.5000 Re
0.0000 0.5000 0.0000 Ni
0.5000 0.0000 0.0000 Ni
```

DFT formation energy = 0.922 eV per atom
volume = 17.4 Å³ per atom


A geometry-optimized MnB2 structure, computed with PBE-GGA.

Cell and atoms, written as POSCAR:
```
MnB2
1.0
2.5587 0.0000 0.0000
0.0000 2.5587 0.0000
0.0000 0.0000 6.7025
Mn B
2 4
Direct
0.0000 0.0000 0.0000 Mn
0.5000 0.5000 0.5000 Mn
0.0000 0.0000 0.3163 B
0.0000 0.0000 0.6837 B
0.5000 0.5000 0.1837 B
0.5000 0.5000 0.8163 B
```

DFT formation energy = 0.146 eV per atom
volume = 7.3 Å³ per atom


A geometry-optimized Al3CuF structure, computed with PBE-GGA.

Cell and atoms, written as POSCAR:
```
Al3CuF
1.0
4.3571 0.0000 0.0000
0.0000 4.3571 0.0000
0.0000 0.0000 4.3571
Al Cu F
3 1 1
Direct
0.0000 0.0000 0.5000 Al
0.0000 0.5000 0.0000 Al
0.5000 0.0000 0.0000 Al
0.5000 0.5000 0.5000 Cu
0.0000 0.0000 0.0000 F
```

volume = 16.5 Å³ per atom
VASP energy = -3.47 eV/atom


A geometry-optimized MgVPdRh structure, computed with PBE-GGA.

Cell and atoms, written as POSCAR:
```
MgVPdRh
1.0
6.2015 0.0000 0.0000
0.0000 6.2015 0.0000
0.0000 0.0000 6.2015
Mg V Pd Rh
4 4 4 4
Direct
0.0000 0.0000 0.0000 Mg
0.0000 0.5000 0.5000 Mg
0.5000 0.0000 0.5000 Mg
0.5000 0.5000 0.0000 Mg
0.0000 0.0000 0.5000 V
0.0000 0.5000 0.0000 V
0.5000 0.0000 0.0000 V
0.5000 0.5000 0.5000 V
0.2500 0.2500 0.7500 Pd
0.2500 0.7500 0.2500 Pd
0.7500 0.2500 0.2500 Pd
0.7500 0.7500 0.7500 Pd
0.2500 0.2500 0.2500 Rh
0.2500 0.7500 0.7500 Rh
0.7500 0.2500 0.7500 Rh
0.7500 0.7500 0.2500 Rh
```

DFT formation energy = -0.349 eV per atom
volume = 14.9 Å³ per atom


A geometry-optimized GdSnSb2 structure, computed with PBE-GGA.

Cell and atoms, written as POSCAR:
```
GdSnSb2
1.0
5.0230 0.0000 0.0000
0.0000 5.0230 0.0000
0.0000 0.0000 4.3028
Gd Sn Sb
1 1 2
Direct
0.0000 0.0000 0.0000 Gd
0.5000 0.5000 0.0000 Sn
0.0000 0.5000 0.5000 Sb
0.5000 0.0000 0.5000 Sb
```

volume = 27.1 Å³ per atom
VASP energy = -7.07 eV/atom


A geometry-optimized Ho3AsI7 structure, computed with PBE-GGA.

Cell and atoms, written as POSCAR:
```
Ho3AsI7
1.0
8.7760 0.0000 0.0000
-4.3880 7.6002 0.0000
0.0000 0.0000 7.4369
Ho As I
3 1 7
Direct
0.0088 0.5044 0.0000 Ho
0.4956 0.5044 0.0000 Ho
0.4956 0.9912 0.0000 Ho
0.3333 0.6667 0.1778 As
0.1714 0.3428 0.7574 I
0.1714 0.8286 0.7574 I
0.3410 0.1705 0.2233 I
0.6572 0.8286 0.7574 I
0.6667 0.3333 0.7524 I
0.8295 0.1705 0.2233 I
0.8295 0.6590 0.2233 I
```

volume = 45.1 Å³ per atom
VASP energy = -3.86 eV/atom


A geometry-optimized BeOs2Ru structure, computed with PBE-GGA.

Cell and atoms, written as POSCAR:
```
BeOs2Ru
1.0
3.6542 0.0000 0.0000
0.0000 3.6542 0.0000
0.0000 0.0000 7.9343
Be Os Ru
2 4 2
Direct
0.0000 0.0000 0.0000 Be
0.5000 0.5000 0.5000 Be
0.0000 0.5000 0.2500 Os
0.0000 0.5000 0.7500 Os
0.5000 0.0000 0.2500 Os
0.5000 0.0000 0.7500 Os
0.0000 0.0000 0.5000 Ru
0.5000 0.5000 0.0000 Ru
```

DFT formation energy = 0.214 eV per atom
volume = 13.2 Å³ per atom


A geometry-optimized PRu3 structure, computed with PBE-GGA.

Cell and atoms, written as POSCAR:
```
PRu3
1.0
3.7250 0.0000 0.0000
0.0000 3.7250 0.0000
0.0000 0.0000 15.6838
P Ru
4 12
Direct
0.0000 0.0000 0.1066 P
0.0000 0.0000 0.8934 P
0.5000 0.5000 0.3934 P
0.5000 0.5000 0.6066 P
0.0000 0.0000 0.3690 Ru
0.0000 0.0000 0.6310 Ru
0.0000 0.5000 0.0000 Ru
0.0000 0.5000 0.2500 Ru
0.0000 0.5000 0.5000 Ru
0.0000 0.5000 0.7500 Ru
0.5000 0.0000 0.0000 Ru
0.5000 0.0000 0.2500 Ru
0.5000 0.0000 0.5000 Ru
0.5000 0.0000 0.7500 Ru
0.5000 0.5000 0.1310 Ru
0.5000 0.5000 0.8690 Ru
```

DFT formation energy = 0.094 eV per atom
volume = 13.6 Å³ per atom


A geometry-optimized SrReO2 structure, computed with PBE-GGA.

Cell and atoms, written as POSCAR:
```
SrReO2
1.0
-3.1177 3.1177 6.1166
3.1177 -3.1177 6.1166
3.1177 3.1177 -6.1166
Sr Re O
4 4 8
Direct
0.0000 0.0000 0.0000 Sr
0.0000 0.0000 0.5000 Sr
0.0000 0.5000 0.0000 Sr
0.5000 0.0000 0.5000 Sr
0.0000 0.5000 0.5000 Re
0.5000 0.0000 0.0000 Re
0.5000 0.5000 0.0000 Re
0.5000 0.5000 0.5000 Re
0.2007 0.2528 0.5521 O
0.2007 0.6486 0.9479 O
0.2528 0.2007 0.0521 O
0.3514 0.7993 0.5521 O
0.6486 0.2007 0.4479 O
0.7472 0.7993 0.9479 O
0.7993 0.3514 0.0521 O
0.7993 0.7472 0.4479 O
```

volume = 14.9 Å³ per atom
VASP energy = -7.22 eV/atom


A geometry-optimized KCaNi2 structure, computed with PBE-GGA.

Cell and atoms, written as POSCAR:
```
KCaNi2
1.0
6.8689 0.0000 0.0000
0.0000 6.8689 0.0000
0.0000 0.0000 6.8689
K Ca Ni
4 4 8
Direct
0.0000 0.0000 0.0000 K
0.0000 0.5000 0.5000 K
0.5000 0.0000 0.5000 K
0.5000 0.5000 0.0000 K
0.2500 0.2500 0.2500 Ca
0.2500 0.7500 0.7500 Ca
0.7500 0.2500 0.7500 Ca
0.7500 0.7500 0.2500 Ca
0.0000 0.0000 0.5000 Ni
0.0000 0.5000 0.0000 Ni
0.2500 0.2500 0.7500 Ni
0.2500 0.7500 0.2500 Ni
0.5000 0.0000 0.0000 Ni
0.5000 0.5000 0.5000 Ni
0.7500 0.2500 0.2500 Ni
0.7500 0.7500 0.7500 Ni
```

DFT formation energy = 0.635 eV per atom
volume = 20.3 Å³ per atom


A geometry-optimized Pm4ThBi6 structure, computed with PBE-GGA.

Cell and atoms, written as POSCAR:
```
Pm4ThBi6
1.0
2.2855 -7.7644 0.0000
2.2855 7.7644 0.0000
0.0000 0.0000 21.6857
Pm Th Bi
8 2 12
Direct
0.0934 0.9066 0.6296 Pm
0.0934 0.9066 0.8704 Pm
0.3593 0.6407 0.5402 Pm
0.3593 0.6407 0.9598 Pm
0.6407 0.3593 0.0402 Pm
0.6407 0.3593 0.4598 Pm
0.9066 0.0934 0.1296 Pm
0.9066 0.0934 0.3704 Pm
0.1599 0.8401 0.2500 Th
0.8401 0.1599 0.7500 Th
0.0000 0.0000 0.0000 Bi
0.0000 0.0000 0.5000 Bi
0.1983 0.8017 0.7500 Bi
0.2648 0.7352 0.0952 Bi
0.2648 0.7352 0.4048 Bi
0.4591 0.5409 0.6753 Bi
0.4591 0.5409 0.8247 Bi
0.5409 0.4591 0.1753 Bi
0.5409 0.4591 0.3247 Bi
0.7352 0.2648 0.5952 Bi
0.7352 0.2648 0.9048 Bi
0.8017 0.1983 0.2500 Bi
```

DFT formation energy = -0.664 eV per atom
volume = 35.0 Å³ per atom


A geometry-optimized BaPb2W structure, computed with PBE-GGA.

Cell and atoms, written as POSCAR:
```
BaPb2W
1.0
3.5345 0.0000 0.0000
-1.7673 3.0610 0.0000
0.0000 0.0000 30.8257
Ba Pb W
3 6 3
Direct
0.0000 0.0000 0.0000 Ba
0.3333 0.6667 0.6667 Ba
0.6667 0.3333 0.3333 Ba
0.0000 0.0000 0.2347 Pb
0.0000 0.0000 0.7653 Pb
0.3333 0.6667 0.4320 Pb
0.3333 0.6667 0.9013 Pb
0.6667 0.3333 0.0987 Pb
0.6667 0.3333 0.5680 Pb
0.0000 0.0000 0.5000 W
0.3333 0.6667 0.1667 W
0.6667 0.3333 0.8333 W
```

DFT formation energy = 0.634 eV per atom
volume = 27.8 Å³ per atom